An optimized crystal structure of TbPuInSn, computed with PBE-GGA.

Lattice parameters (Å, degrees): 5.3468 5.3468 5.3468 60.00 60.00 60.00
Sites, in units of the cell vectors:
1 In 0.5000 0.5000 0.5000
2 Tb 0.2500 0.2500 0.2500
3 Sn 0.0000 0.0000 0.0000
4 Pu 0.7500 0.7500 0.7500


An optimized crystal structure of YPuInSn, computed with PBE-GGA.

Lattice parameters (Å, degrees): 5.3435 5.3435 5.3435 60.00 60.00 60.00
Sites, in units of the cell vectors:
1 Y 0.5000 0.5000 0.5000
2 In 0.7500 0.7500 0.7500
3 Sn 0.2500 0.2500 0.2500
4 Pu 0.0000 0.0000 0.0000


Here are the calculated calculated formation energy numbers, same order: -0.357 -0.368 (eV per atom).